#a
DFT (PBEsol) results for crystalline BaCa2Ag at its relaxed geometry.

Summary:
* theoretical density: 3.7 g cm⁻³

Unit cell a=3.846 b=6.029 c=7.183 alpha=114.82 beta=105.53 gamma=90.00
Fractional positions:
Ag1 0.500 0.000 0.000
Ba1 0.000 0.500 0.000
Ca1 0.806 0.806 0.612
Ca2 0.194 0.194 0.388



#b
DFT (PBEsol) results for crystalline BaCa2Ag at its relaxed geometry.

Summary:
* theoretical density: 3.8 g cm⁻³

Unit cell a=3.745 b=6.237 c=7.015 alpha=115.08 beta=103.45 gamma=94.43
Fractional positions:
Ag1 0.500 0.000 0.000
Ba1 0.000 0.500 0.000
Ca1 0.500 0.500 0.500
Ca2 0.000 0.000 0.500



#c
DFT (PBEsol) results for crystalline BaCa2Ag at its relaxed geometry.

Summary:
* theoretical density: 3.8 g cm⁻³

Unit cell a=3.780 b=3.780 c=9.869 alpha=90.00 beta=90.00 gamma=90.00
Fractional positions:
Ag1 0.500 0.500 0.000
Ba1 0.500 0.500 0.500
Ca1 0.000 0.000 0.826
Ca2 0.000 0.000 0.174



#d
DFT (PBEsol) results for crystalline BaCa2Ag at its relaxed geometry.

Summary:
* theoretical density: 3.8 g cm⁻³

Unit cell a=3.901 b=3.901 c=9.432 alpha=90.00 beta=90.00 gamma=90.00
Fractional positions:
Ba1 0.000 0.000 0.693
Ca1 0.000 0.000 0.311
Ca2 0.500 0.500 0.028
Ag1 0.500 0.500 0.468



Looking at the structures above, #c is most stable, and the difference to the next one is 0.007 eV/atom.